[1]
Ga2NiCl8: optimized geometry, GGA-PBE.

Geometry as POSCAR:
```
Ga2NiCl8
1.0
8.4861 -3.8110 0.0000
8.4861 3.8110 0.0000
-7.6360 0.0000 8.7140
Ga Ni Cl
4 2 16
direct
0.1613 0.6638 0.9644
0.3362 0.8387 0.5356
0.6638 0.1613 0.4644
0.8387 0.3362 0.0356
0.4971 0.5029 0.7500
0.5029 0.4971 0.2500
0.1519 0.1741 0.0558
0.1741 0.1519 0.5558
0.1747 0.6534 0.7742
0.2090 0.6462 0.3047
0.3380 0.3552 0.9824
0.3466 0.8253 0.7258
0.3538 0.7910 0.1953
0.3552 0.3380 0.4824
0.6448 0.6620 0.5176
0.6462 0.2090 0.8047
0.6534 0.1747 0.2742
0.6620 0.6448 0.0176
0.7910 0.3538 0.6953
0.8253 0.3466 0.2258
0.8259 0.8481 0.4442
0.8481 0.8259 0.9442
```

Properties
The calculation puts the electronic total energy at -0.123 hartree per atom. Its space-group type is C2/c (15).

[2]
HoGa6Cu6: optimized geometry, GGA-PBE.

Geometry as POSCAR:
```
HoGa6Cu6
1.0
-2.5765 4.2603 4.3471
2.5765 -4.2603 4.3471
2.5765 4.2603 -4.3471
Ho Ga Cu
1 6 6
direct
0.0000 0.0000 0.0000
0.1926 0.6926 0.5000
0.3465 0.0000 0.3465
0.3476 0.3476 0.0000
0.6524 0.6524 0.0000
0.6535 0.0000 0.6535
0.8074 0.3074 0.5000
0.0000 0.0000 0.5000
0.0000 0.5000 0.0000
0.2327 0.5000 0.7327
0.5000 0.0000 0.0000
0.5000 0.5000 0.5000
0.7673 0.5000 0.2673
```

Properties
The calculation puts the electronic total energy at -0.138 hartree per atom. Its space-group type is Immm (71).

[3]
Y4TlNiC2: optimized geometry, GGA-PBE.

Geometry as POSCAR:
```
Y4TlNiC2
1.0
3.6287 0.0000 0.0000
-1.8144 3.1426 0.0000
0.0000 0.0000 14.7936
Y Tl Ni C
4 1 1 2
direct
0.0000 0.0000 0.1336
0.0000 0.0000 0.8664
0.6667 0.3333 0.3166
0.6667 0.3333 0.6834
0.0000 0.0000 0.5000
0.6667 0.3333 0.0000
0.3333 0.6667 0.2278
0.3333 0.6667 0.7722
```

Properties
The calculation puts the electronic total energy at -0.250 hartree per atom. Its space-group type is P-6m2 (187).

[4]
NdGeAu: optimized geometry, GGA-PBE.

Geometry as POSCAR:
```
NdGeAu
1.0
7.3442 0.0000 0.0000
-3.6721 6.3603 0.0000
0.0000 0.0000 4.2874
Nd Ge Au
3 3 3
direct
0.0000 0.5902 0.0000
0.4098 0.4098 0.0000
0.5902 0.0000 0.0000
0.0000 0.0000 0.0000
0.3333 0.6667 0.5000
0.6667 0.3333 0.5000
0.0000 0.2600 0.5000
0.2600 0.0000 0.5000
0.7400 0.7400 0.5000
```

Properties
The calculation puts the electronic total energy at -0.184 hartree per atom. Its space-group type is P-62m (189).

[5]
Cs3Rb2CuSb2: optimized geometry, GGA-PBE.

Geometry as POSCAR:
```
Cs3Rb2CuSb2
1.0
3.1897 1.8415 9.7720
-3.1897 1.8415 9.7720
0.0000 -3.6831 9.7720
Cs Rb Cu Sb
3 2 1 2
direct
0.0000 0.0000 0.0000
0.1394 0.1394 0.1394
0.8606 0.8606 0.8606
0.2839 0.2839 0.2839
0.7161 0.7161 0.7161
0.5000 0.5000 0.5000
0.4137 0.4137 0.4137
0.5863 0.5863 0.5863
```

Properties
The calculation puts the energy above the lowest structure with this stoichiometry at 0.000 kcal/mol of atoms. Its space-group type is R-3m (166).

[6]
Ta4CdBiN2: optimized geometry, GGA-PBE.

Geometry as POSCAR:
```
Ta4CdBiN2
1.0
3.1787 0.0000 0.0000
-1.5894 2.7529 0.0000
0.0000 0.0000 15.0137
Ta Cd Bi N
4 1 1 2
direct
0.0000 0.0000 0.1606
0.0000 0.0000 0.8394
0.6667 0.3333 0.3145
0.6667 0.3333 0.6855
0.6667 0.3333 0.0000
0.0000 0.0000 0.5000
0.3333 0.6667 0.2380
0.3333 0.6667 0.7620
```

Properties
The calculation puts the electronic total energy at -0.326 hartree per atom. Its space-group type is P-6m2 (187).

[7]
TbGdSi2Br2: optimized geometry, GGA-PBE.

Geometry as POSCAR:
```
TbGdSi2Br2
1.0
4.0596 0.0000 0.0000
-2.0298 3.5157 0.0000
0.0000 0.0000 11.0717
Tb Gd Si Br
1 1 2 2
direct
0.0000 0.0000 0.0000
0.0000 0.0000 0.3473
0.3333 0.6667 0.1815
0.6667 0.3333 0.1641
0.3333 0.6667 0.8354
0.6667 0.3333 0.5134
```

Properties
The calculation puts the electronic total energy at -0.189 hartree per atom. Its space-group type is P3m1 (156).

[8]
Mg2ZnIr: optimized geometry, GGA-PBE.

Geometry as POSCAR:
```
Mg2ZnIr
1.0
0.0000 3.1628 3.1628
3.1628 0.0000 3.1628
3.1628 3.1628 0.0000
Mg Zn Ir
2 1 1
direct
0.0000 0.0000 0.0000
0.2500 0.2500 0.2500
0.5000 0.5000 0.5000
0.7500 0.7500 0.7500
```

Properties
The calculation puts the electronic total energy at -0.131 hartree per atom. Its space-group type is F-43m (216).

[9]
NbCoHgSb: optimized geometry, GGA-PBE.

Geometry as POSCAR:
```
NbCoHgSb
1.0
0.0000 3.2905 3.2905
3.2905 0.0000 3.2905
3.2905 3.2905 0.0000
Nb Co Hg Sb
1 1 1 1
direct
0.0000 0.0000 0.0000
0.5000 0.5000 0.5000
0.7500 0.7500 0.7500
0.2500 0.2500 0.2500
```

Properties
The calculation puts the energy above the lowest structure with this stoichiometry at 0.000 kcal/mol of atoms. Its space-group type is F-43m (216).

[10]
HoErNi2: optimized geometry, GGA-PBE.

Geometry as POSCAR:
```
HoErNi2
1.0
4.1529 0.0000 0.0000
0.0000 1.8507 5.0348
0.0000 -1.8507 5.0348
Ho Er Ni
1 1 2
direct
0.0000 0.0000 0.0000
0.5000 0.2794 0.2794
0.0000 0.7127 0.7127
0.5000 0.5677 0.5677
```

Properties
For the energy of formation from the pure elements, the calculation gives -0.484 eV per atom. Its space-group type is Amm2 (38).

[11]
Zn: optimized geometry, GGA-PBE.

Geometry as POSCAR:
```
Zn
1.0
1.5299 0.8833 1.9255
-1.5299 0.8833 1.9255
0.0000 -1.7665 1.9255
Zn
1
direct
0.0000 0.0000 0.0000
```

Properties
The calculation puts the energy above the lowest structure with this stoichiometry at 2.132 kcal/mol of atoms. For the energy of formation from the pure elements, the calculation gives 0.092 eV per atom. Its space-group type is R-3m (166).

[12]
LuTlCoPd: optimized geometry, GGA-PBE.

Geometry as POSCAR:
```
LuTlCoPd
1.0
0.0000 3.3078 3.3078
3.3078 0.0000 3.3078
3.3078 3.3078 0.0000
Lu Tl Co Pd
1 1 1 1
direct
0.0000 0.0000 0.0000
0.5000 0.5000 0.5000
0.7500 0.7500 0.7500
0.2500 0.2500 0.2500
```

Properties
The calculation puts the energy above the lowest structure with this stoichiometry at 0.000 kcal/mol of atoms. Its space-group type is F-43m (216).

[13]
Hf2Mo4Pb3C3: optimized geometry, GGA-PBE.

Geometry as POSCAR:
```
Hf2Mo4Pb3C3
1.0
4.9278 -2.8472 0.0000
4.9278 2.8472 0.0000
-3.1903 0.0000 14.0371
Hf Mo Pb C
4 8 6 6
direct
0.0273 0.8593 0.5861
0.1407 0.9727 0.9139
0.8593 0.0273 0.0861
0.9727 0.1407 0.4139
0.1897 0.3591 0.0743
0.3105 0.4752 0.4255
0.3591 0.1897 0.5743
0.4752 0.3105 0.9255
0.5248 0.6895 0.0745
0.6409 0.8103 0.4257
0.6895 0.5248 0.5745
0.8103 0.6409 0.9257
0.0821 0.2688 0.7488
0.2688 0.0821 0.2488
0.4339 0.5661 0.7500
0.5661 0.4339 0.2500
0.7312 0.9179 0.7512
0.9179 0.7312 0.2512
0.0000 0.5000 0.5000
0.1687 0.6637 0.0000
0.3363 0.8313 0.5000
0.5000 0.0000 0.0000
0.6637 0.1687 0.5000
0.8313 0.3363 0.0000
```

Properties
The calculation puts the electronic total energy at -0.316 hartree per atom. Its space-group type is C2/c (15).

[14]
CsZrNb: optimized geometry, GGA-PBE.

Geometry as POSCAR:
```
CsZrNb
1.0
0.0000 3.4091 3.4091
3.4091 0.0000 3.4091
3.4091 3.4091 0.0000
Cs Zr Nb
1 1 1
direct
0.0000 0.0000 0.0000
0.2500 0.2500 0.2500
0.7500 0.7500 0.7500
```

Properties
The calculation puts the energy above the lowest structure with this stoichiometry at 10.477 kcal/mol of atoms. Its space-group type is F-43m (216).

[15]
DyErIn5: optimized geometry, GGA-PBE.

Geometry as POSCAR:
```
DyErIn5
1.0
4.6007 0.0000 0.0000
0.0000 4.6007 0.0000
0.0000 0.0000 8.7893
Dy Er In
1 1 5
direct
0.0000 0.0000 0.0000
0.0000 0.0000 0.5000
0.0000 0.5000 0.2637
0.0000 0.5000 0.7363
0.5000 0.0000 0.2637
0.5000 0.0000 0.7363
0.5000 0.5000 0.0000
```

Properties
The calculation puts the electronic total energy at -0.131 hartree per atom. Its space-group type is P4/mmm (123).

[16]
KRbPr: optimized geometry, GGA-PBE.

Geometry as POSCAR:
```
KRbPr
1.0
0.0000 4.7171 4.7171
4.7171 0.0000 4.7171
4.7171 4.7171 0.0000
K Rb Pr
1 1 1
direct
0.0000 0.0000 0.0000
0.2500 0.2500 0.2500
0.7500 0.7500 0.7500
```

Properties
The calculation puts the energy above the lowest structure with this stoichiometry at 0.000 kcal/mol of atoms. Its space-group type is F-43m (216).

[17]
GdMg5Cd2: optimized geometry, GGA-PBE.

Geometry as POSCAR:
```
GdMg5Cd2
1.0
5.0030 0.0000 0.0000
0.0000 3.1255 5.9506
0.0000 -3.1255 5.9506
Gd Mg Cd
1 5 2
direct
0.0000 0.0000 0.0000
0.0000 0.4951 0.9876
0.0000 0.9876 0.4951
0.5000 0.1345 0.6380
0.5000 0.6229 0.6229
0.5000 0.6380 0.1345
0.0000 0.4655 0.4655
0.5000 0.1567 0.1567
```

Properties
The calculation puts the electronic total energy at -0.069 hartree per atom. Its space-group type is Amm2 (38).

[18]
SmGa2CuIr: optimized geometry, GGA-PBE.

Geometry as POSCAR:
```
SmGa2CuIr
1.0
4.2328 0.0000 0.0000
0.0000 4.2328 0.0000
0.0000 0.0000 10.0609
Sm Ga Cu Ir
2 4 2 2
direct
0.2500 0.2500 0.2397
0.7500 0.7500 0.7603
0.2500 0.2500 0.8673
0.2500 0.7500 0.5000
0.7500 0.2500 0.5000
0.7500 0.7500 0.1327
0.2500 0.2500 0.6286
0.7500 0.7500 0.3714
0.2500 0.7500 0.0000
0.7500 0.2500 0.0000
```

Properties
The calculation puts the electronic total energy at -0.193 hartree per atom. Its space-group type is P4/nmm (129).

[19]
Nd2Sm2C2Br3Cl2: optimized geometry, GGA-PBE.

Geometry as POSCAR:
```
Nd2Sm2C2Br3Cl2
1.0
9.6236 -1.9515 0.0000
9.6236 1.9515 0.0000
-2.1052 0.0000 7.9188
Nd Sm C Br Cl
2 2 2 3 2
direct
0.0009 0.0009 0.2037
0.9991 0.9991 0.7963
0.3431 0.3431 0.8945
0.6569 0.6569 0.1055
0.4622 0.4622 0.9762
0.5378 0.5378 0.0238
0.1689 0.1689 0.8381
0.5000 0.5000 0.5000
0.8311 0.8311 0.1619
0.1591 0.1591 0.3491
0.8409 0.8409 0.6509
```

Properties
The calculation puts the energy above the lowest structure with this stoichiometry at 0.000 kcal/mol of atoms. Its space-group type is C2/m (12).

[20]
Li2LaCuP2: optimized geometry, GGA-PBE.

Geometry as POSCAR:
```
Li2LaCuP2
1.0
4.1556 0.0000 0.0000
-2.0778 3.5989 0.0000
0.0000 0.0000 6.7164
Li La Cu P
2 1 1 2
direct
0.3333 0.6667 0.3637
0.6667 0.3333 0.6363
0.0000 0.0000 0.0000
0.0000 0.0000 0.5000
0.3333 0.6667 0.7328
0.6667 0.3333 0.2672
```

Properties
The calculation puts the electronic total energy at -0.171 hartree per atom. Its space-group type is P-3m1 (164).

Number 1: mass density 2.839 g/cm³. Number 2: mass density 8.392 g/cm³. Number 3: mass density 6.327 g/cm³. Number 4: mass density 10.294 g/cm³. Number 5: mass density 4.227 g/cm³. Number 6: mass density 13.565 g/cm³. Number 7: mass density 5.592 g/cm³. Number 8: mass density 8.037 g/cm³. Number 9: mass density 11.051 g/cm³. Number 10: mass density 9.646 g/cm³. Number 11: mass density 6.957 g/cm³. Number 12: mass density 12.496 g/cm³. Number 13: mass density 11.790 g/cm³. Number 14: mass density 6.644 g/cm³. Number 15: mass density 8.068 g/cm³. Number 16: mass density 2.100 g/cm³. Number 17: mass density 4.493 g/cm³. Number 18: mass density 10.051 g/cm³. Number 19: mass density 5.158 g/cm³. Number 20: mass density 4.600 g/cm³.